Compound: YIn2PIr
Source: the Alexandria database
Functional: PBE
Structure: optimized geometry

The total energy comes out at -5.189 eV/atom. The energy of formation is 0.0534 eV per atom.

The structure belongs to space group P4/mmm (No. 123); the cell edges are 5.313, 5.313 and 4.439 Å and the angles 90.00°, 90.00° and 90.00°. Symmetry generates all atoms from Y at (0.000, 0.000, 0.000), In at (0.000, 0.500, 0.500), P at (0.500, 0.500, 0.000) and Ir at (0.500, 0.500, 0.500).